This record from the Alexandria database describes a relaxed structure of CaNd3B2N6. The functional is PBE-GGA.

Calculated values
energy = -91.5 eV per formula unit
formation energy from raw total energies = -991 meV/atom
total magnetic moment = 0.00 Bohr magnetons per cell

Cell: 5.6426 5.6426 6.2812 Å, 90.00 90.00 120.00°
Positions (direct):
Ca 0.0000 0.0000 0.5000
Nd 0.3333 0.6667 0.6532
Nd 0.6667 0.3333 0.3468
Nd 0.0000 0.0000 0.0000
B 0.6667 0.3333 0.7597
B 0.3333 0.6667 0.2403
N 0.6271 0.8135 0.2699
N 0.1865 0.3729 0.2699
N 0.1865 0.8135 0.2699
N 0.8135 0.6271 0.7301
N 0.3729 0.1865 0.7301
N 0.8135 0.1865 0.7301